Record 1
## NaZnCrTe3 (GGA-PBE)

Data for a geometry-optimized NaZnCrTe3 structure.

Output
**Formation energy from raw total energies**: -432 meV/atom

abc: 4.127 8.512 9.929
angles: 106.70 90.00 90.00
Each line ends with the local moment (μB).
Fractional positions:
Na  0.750  0.797  0.762  0.00
Na  0.250  0.203  0.238  0.00
Zn  0.250  0.079  0.598  0.00
Zn  0.750  0.921  0.402  0.00
Cr  0.250  0.667  0.148  3.12
Cr  0.750  0.333  0.852  3.12
Te  0.250  0.746  0.456  -0.02
Te  0.750  0.886  0.132  -0.08
Te  0.750  0.449  0.139  -0.18
Te  0.750  0.254  0.544  -0.02
Te  0.250  0.551  0.861  -0.18
Te  0.250  0.114  0.868  -0.08



Record 2
## Na3ZrCr2Te6 (GGA-PBE)

Data for a geometry-optimized Na3ZrCr2Te6 structure.

Output
**Formation energy from raw total energies**: -617 meV/atom

abc: 7.166 7.166 7.886
angles: 98.75 98.75 119.98
Each line ends with the local moment (μB).
Fractional positions:
Na  0.163  0.837  0.500  0.00
Na  0.837  0.163  0.500  0.00
Na  0.500  0.500  0.500  0.00
Zr  0.000  0.000  0.000  0.21
Cr  0.333  0.667  0.000  3.33
Cr  0.667  0.333  0.000  3.33
Te  0.930  0.585  0.791  -0.08
Te  0.724  0.724  0.209  -0.08
Te  0.070  0.415  0.209  -0.08
Te  0.585  0.930  0.791  -0.08
Te  0.276  0.276  0.791  -0.08
Te  0.415  0.070  0.209  -0.08



Record 3
## NaTi2Cr (GGA-PBE)

Data for a geometry-optimized NaTi2Cr structure.

Output
**Excess energy over the best structure of this formula in the dataset**: 0 meV/atom
**Energy of formation**: 0.74 eV/atom

abc: 4.513 4.513 4.513
angles: 60.00 60.00 60.00
Fractional positions:
Cr  0.500  0.500  0.500
Na  0.000  0.000  0.000
Ti  0.250  0.250  0.250
Ti  0.750  0.750  0.750



Record 4
## NaTiCr2 (GGA-PBE)

Data for a geometry-optimized NaTiCr2 structure.

Output
**Excess energy over the best structure of this formula in the dataset**: 37 meV/atom
**Energy of formation**: 1.21 eV/atom

abc: 3.694 3.694 9.627
angles: 78.94 78.94 90.00
Fractional positions:
Cr  0.069  0.125  0.250
Cr  0.681  0.625  0.250
Cr  0.375  0.931  0.750
Cr  0.875  0.319  0.750
Na  0.500  0.500  0.000
Na  0.250  0.750  0.500
Ti  0.000  0.000  0.000
Ti  0.750  0.250  0.500



Record 5
## NaTiCr2 (GGA-PBE)

Data for a geometry-optimized NaTiCr2 structure.

Output
**Excess energy over the best structure of this formula in the dataset**: 0 meV/atom
**Energy of formation**: 1.18 eV/atom

abc: 4.407 4.407 4.407
angles: 60.00 60.00 60.00
Fractional positions:
Cr  0.250  0.250  0.250
Cr  0.750  0.750  0.750
Na  0.000  0.000  0.000
Ti  0.500  0.500  0.500



Record 6
## Na2TiCr (GGA-PBE)

Data for a geometry-optimized Na2TiCr structure.

Output
**Excess energy over the best structure of this formula in the dataset**: 441 meV/atom
**Energy of formation**: 1.56 eV/atom

abc: 4.818 4.818 4.818
angles: 60.00 60.00 60.00
Each line ends with the local moment (μB).
Fractional positions:
Cr  0.500  0.500  0.500  -0.08
Na  0.250  0.250  0.250  0.00
Na  0.750  0.750  0.750  0.00
Ti  0.000  0.000  0.000  0.71



Record 7
## NaTi2Cr (GGA-PBE)

Data for a geometry-optimized NaTi2Cr structure.

Output
**Excess energy over the best structure of this formula in the dataset**: 505 meV/atom
**Energy of formation**: 1.24 eV/atom

abc: 6.895 6.895 6.907
angles: 60.06 60.06 90.00
Fractional positions:
Cr  0.000  0.000  0.000
Cr  0.750  0.250  0.500
Na  0.500  0.500  0.000
Na  0.250  0.750  0.500
Ti  0.875  0.125  0.250
Ti  0.875  0.625  0.250
Ti  0.375  0.125  0.750
Ti  0.875  0.125  0.750



Record 8
## Na2TiCr (GGA-PBE)

Data for a geometry-optimized Na2TiCr structure.

Output
**Excess energy over the best structure of this formula in the dataset**: 0 meV/atom
**Energy of formation**: 1.12 eV/atom

abc: 8.382 8.382 6.490
angles: 49.78 49.78 90.00
Each line ends with the local moment (μB).
Fractional positions:
Cr  0.000  0.000  0.000  3.48
Cr  0.750  0.250  0.500  3.48
Na  0.645  0.125  0.250  -0.01
Na  0.105  0.625  0.250  -0.01
Na  0.375  0.355  0.750  -0.01
Na  0.875  0.895  0.750  -0.01
Ti  0.500  0.500  0.000  -1.52
Ti  0.250  0.750  0.500  -1.52



Record 9
## NaTlCr3 (GGA-PBE)

Data for a geometry-optimized NaTlCr3 structure.

Output
**Excess energy over the best structure of this formula in the dataset**: 0 meV/atom
**Energy of formation**: 1.36 eV/atom

abc: 5.321 5.321 5.321
angles: 90.00 90.00 90.00
Each line ends with the local moment (μB).
Fractional positions:
Cr  0.000  0.500  0.000  4.02
Cr  0.000  0.000  0.500  4.06
Cr  0.500  0.000  0.000  3.83
Tl  0.000  0.000  0.000  -0.05
Na  0.500  0.500  0.500  0.02



Record 10
## NaTl3Cr (GGA-PBE)

Data for a geometry-optimized NaTl3Cr structure.

Output
**Excess energy over the best structure of this formula in the dataset**: 0 meV/atom
**Energy of formation**: 0.32 eV/atom

abc: 5.313 5.313 5.313
angles: 90.00 90.00 90.00
Each line ends with the local moment (μB).
Fractional positions:
Cr  0.000  0.000  0.000  2.52
Tl  0.000  0.500  0.000  -0.04
Tl  0.000  0.000  0.500  -0.01
Tl  0.500  0.000  0.000  -0.09
Na  0.500  0.500  0.500  -0.02



Record 11
## Na3TlCr (GGA-PBE)

Data for a geometry-optimized Na3TlCr structure.

Output
**Excess energy over the best structure of this formula in the dataset**: 0 meV/atom
**Energy of formation**: 0.67 eV/atom

abc: 5.745 5.745 5.745
angles: 90.00 90.00 90.00
Each line ends with the local moment (μB).
Fractional positions:
Cr  0.000  0.000  0.000  4.28
Tl  0.500  0.500  0.500  -0.02
Na  0.000  0.500  0.000  0.02
Na  0.000  0.000  0.500  0.01
Na  0.500  0.000  0.000  0.03



Record 12
## NaTl2Cr (GGA-PBE)

Data for a geometry-optimized NaTl2Cr structure.

Output
**Energy of formation**: 0.53 eV/atom

abc: 4.644 4.644 10.816
angles: 77.60 77.60 90.00
Each line ends with the local moment (μB).
Fractional positions:
Cr  0.000  0.000  0.000  4.00
Cr  0.750  0.250  0.500  3.99
Tl  0.642  0.125  0.250  -0.03
Tl  0.108  0.625  0.250  -0.03
Tl  0.375  0.358  0.750  -0.03
Tl  0.875  0.892  0.750  -0.03
Na  0.500  0.500  0.000  0.00
Na  0.250  0.750  0.500  0.00



Record 13
## Na3TlCr (GGA-PBE)

Data for a geometry-optimized Na3TlCr structure.

Output
**Excess energy over the best structure of this formula in the dataset**: 567 meV/atom
**Energy of formation**: 1.24 eV/atom

abc: 5.751 5.751 5.751
angles: 90.00 90.00 90.00
Each line ends with the local moment (μB).
Fractional positions:
Cr  0.500  0.500  0.500  0.86
Tl  0.000  0.000  0.000  -0.06
Na  0.000  0.500  0.000  -0.01
Na  0.000  0.000  0.500  -0.01
Na  0.500  0.000  0.000  0.00



Record 14
## NaTl3Cr (GGA-PBE)

Data for a geometry-optimized NaTl3Cr structure.

Output
**Excess energy over the best structure of this formula in the dataset**: 509 meV/atom
**Energy of formation**: 0.83 eV/atom

abc: 5.527 5.527 5.527
angles: 90.00 90.00 90.00
Each line ends with the local moment (μB).
Fractional positions:
Cr  0.500  0.500  0.500  -4.23
Tl  0.000  0.500  0.000  0.03
Tl  0.000  0.000  0.500  0.01
Tl  0.500  0.000  0.000  0.01
Na  0.000  0.000  0.000  0.00



Record 15
## Na3VCr (GGA-PBE)

Data for a geometry-optimized Na3VCr structure.

Output
**Excess energy over the best structure of this formula in the dataset**: 35 meV/atom
**Energy of formation**: 1.44 eV/atom

abc: 5.696 5.696 5.696
angles: 90.00 90.00 90.00
Each line ends with the local moment (μB).
Fractional positions:
Cr  0.500  0.500  0.500  4.29
V  0.000  0.000  0.000  3.34
Na  0.000  0.500  0.000  0.03
Na  0.000  0.000  0.500  0.03
Na  0.500  0.000  0.000  0.03



Record 16
## Na3VCr (GGA-PBE)

Data for a geometry-optimized Na3VCr structure.

Output
**Excess energy over the best structure of this formula in the dataset**: 0 meV/atom
**Energy of formation**: 1.41 eV/atom

abc: 5.640 5.640 5.640
angles: 90.00 90.00 90.00
Each line ends with the local moment (μB).
Fractional positions:
Cr  0.000  0.000  0.000  4.31
V  0.500  0.500  0.500  3.19
Na  0.000  0.500  0.000  0.02
Na  0.000  0.000  0.500  0.02
Na  0.500  0.000  0.000  0.02



Record 17
## Na2VCr (GGA-PBE)

Data for a geometry-optimized Na2VCr structure.

Output
**Excess energy over the best structure of this formula in the dataset**: 95 meV/atom
**Energy of formation**: 1.26 eV/atom

abc: 5.183 5.183 5.183
angles: 60.00 60.00 60.00
Each line ends with the local moment (μB).
Fractional positions:
Cr  0.500  0.500  0.500  4.11
V  0.000  0.000  0.000  3.08
Na  0.250  0.250  0.250  0.02
Na  0.750  0.750  0.750  0.02



Record 18
## Na2VCr (GGA-PBE)

Data for a geometry-optimized Na2VCr structure.

Output
**Excess energy over the best structure of this formula in the dataset**: 0 meV/atom
**Energy of formation**: 1.17 eV/atom

abc: 8.275 8.275 6.421
angles: 49.88 49.88 90.00
Each line ends with the local moment (μB).
Fractional positions:
Cr  0.000  0.000  0.000  3.63
Cr  0.750  0.250  0.500  3.63
V  0.500  0.500  0.000  -2.77
V  0.250  0.750  0.500  -2.77
Na  0.634  0.125  0.250  -0.01
Na  0.116  0.625  0.250  -0.01
Na  0.375  0.366  0.750  -0.01
Na  0.875  0.884  0.750  -0.01



Record 19
## NaVCr2 (GGA-PBE)

Data for a geometry-optimized NaVCr2 structure.

Output
**Excess energy over the best structure of this formula in the dataset**: 398 meV/atom
**Energy of formation**: 1.37 eV/atom

abc: 3.695 3.695 9.489
angles: 78.77 78.77 90.00
Each line ends with the local moment (μB).
Fractional positions:
Cr  0.689  0.125  0.250  -0.57
Cr  0.061  0.625  0.250  -0.57
Cr  0.375  0.311  0.750  -0.57
Cr  0.875  0.939  0.750  -0.57
V  0.000  0.000  0.000  1.53
V  0.750  0.250  0.500  1.53
Na  0.500  0.500  0.000  0.02
Na  0.250  0.750  0.500  0.02



Record 20
## NaVCr2 (GGA-PBE)

Data for a geometry-optimized NaVCr2 structure.

Output
**Excess energy over the best structure of this formula in the dataset**: 0 meV/atom
**Energy of formation**: 0.97 eV/atom

abc: 4.513 4.513 4.513
angles: 60.00 60.00 60.00
Each line ends with the local moment (μB).
Fractional positions:
Cr  0.250  0.250  0.250  3.07
Cr  0.750  0.750  0.750  3.07
V  0.500  0.500  0.500  -1.99
Na  0.000  0.000  0.000  0.01